NaGaS3 after structural relaxation. Source: Alexandria via LeMat-Bulk, functional GGA-PBE.

Lattice parameters (Å, degrees): 4.973 6.612 7.680 90.00 107.10 90.00
Space group P2_1 (No. 4)
Symmetry-distinct sites (fractional):
Na  0.221  0.000  0.316 (multiplicity 2)
Ga  0.436  0.058  0.861 (multiplicity 2)
S  0.026  0.894  0.685 (multiplicity 2)
S  0.317  0.583  0.356 (multiplicity 2)
S  0.343  0.399  0.875 (multiplicity 2)

Energy above the most stable polymorph in this dataset: 0.000 eV per atom
Magnetic moment: 0.000 Bohr magnetons per cell
Calculated volume: 241.4 Å³/cell
N(E_F): 0.000 states/eV/cell